This record from Alexandria describes a geometry-optimized Ac2PmHoBi4 structure. The functional is PBE-GGA.

## Properties
total magnetic moment: 0.0 Bohr magnetons per cell
crystal system: monoclinic
DFT formation energy: -929 meV per atom

extended XYZ file:
```
8
Lattice="8.141 0.000 0.000 0.000 4.706 0.000 -2.716 0.000 7.679" Properties=species:S:1:pos:R:3 pbc="T T T"
Ac 0.000 0.000 0.000
Ac -1.358 2.353 3.839
Pm 2.712 0.000 3.839
Ho 4.070 2.353 0.000
Bi 1.503 2.353 1.941
Bi 0.144 0.000 5.841
Bi 5.280 0.000 1.838
Bi 3.921 2.353 5.738
```

***

This record from Alexandria describes a geometry-optimized FeHgAs2 structure. The functional is PBE-GGA.

## Properties
total magnetic moment: 6.1 Bohr magnetons per cell
crystal system: monoclinic
DFT formation energy: 495 meV per atom

extended XYZ file:
```
8
Lattice="5.647 0.000 0.000 0.000 7.934 0.000 -2.778 0.000 3.616" Properties=species:S:1:pos:R:3 pbc="T T T"
Fe 0.000 0.000 0.000
Fe 2.823 3.967 0.000
Hg 0.000 3.967 0.000
Hg 2.823 0.000 0.000
As 0.023 1.983 1.808
As 0.023 5.950 1.808
As 2.846 1.983 1.808
As 2.846 5.950 1.808
```

***

This record from Alexandria describes a geometry-optimized La3NdInRh structure. The functional is PBE-GGA.

## Properties
total magnetic moment: 0.0 Bohr magnetons per cell
crystal system: monoclinic
DFT formation energy: -426 meV per atom

extended XYZ file:
```
12
Lattice="8.410 -3.800 0.000 8.410 3.800 0.000 -2.216 0.000 5.701" Properties=species:S:1:pos:R:3 pbc="T T T"
La 4.420 1.923 5.013
La 4.590 0.000 1.800
La 10.184 1.923 0.687
La 4.420 -1.923 5.013
La 10.014 0.000 3.900
La 10.184 -1.923 0.687
Nd 7.302 2.270 2.850
Nd 7.302 -2.270 2.850
In 1.716 0.000 3.954
In 12.888 0.000 1.747
Rh 7.882 0.000 1.333
Rh 6.722 0.000 4.367
```